# 1
HoTmTl2Se4, relaxed, DFT PBE-GGA; symmetry = P2/m; formation energy from raw total energies = -1379 meV/atom
1.0
-3.634 -1.983 0.317
0.729 -2.411 -6.736
3.437 -5.514 4.903
Tl Se Ho Tm
2 4 1 1
Cartesian
2.083 -3.962 -0.916 Tl
-0.098 -3.749 2.610 Tl
2.933 -5.032 2.131 Se
1.233 -2.893 -3.964 Se
-0.954 -2.664 -0.415 Se
1.486 -7.244 -1.101 Se
-1.452 -2.197 -3.209 Ho
0.000 0.000 0.000 Tm


# 2
Tb4B, relaxed, DFT PBE-GGA; symmetry = Pm-3m; DFT formation energy = 0.42 eV/f.u.
1.0
5.188 0.000 0.000
0.000 5.188 0.000
0.000 0.000 5.188
B Tb
1 4
Cartesian
2.594 2.594 2.594 B
2.594 0.000 2.594 Tb
0.000 0.000 0.000 Tb
2.594 2.594 0.000 Tb
0.000 2.594 2.594 Tb


# 3
Mn2CoPN, relaxed, DFT PBE-GGA; symmetry = P4/mmm; formation energy from raw total energies = 1200 meV/atom
1.0
4.646 0.000 0.000
0.000 3.952 0.000
0.000 0.000 4.646
N P Mn Co
1 1 2 1
Cartesian
2.323 1.976 2.323 N
0.000 1.976 0.000 P
0.000 0.000 2.323 Mn
2.323 0.000 0.000 Mn
0.000 0.000 0.000 Co